1.
Here is a geometry-optimized MnVAs2 structure from Alexandria via LeMat-Bulk. Energies are from PBE.

a b c (Å): 6.131 6.131 6.131
angles (deg): 90.00 90.00 90.00
Fractional coordinates of all 16 atoms:
Mn 0.000 0.000 0.000
Mn 0.000 0.500 0.500
Mn 0.500 0.000 0.500
Mn 0.500 0.500 0.000
V 0.000 0.000 0.500
V 0.000 0.500 0.000
V 0.500 0.000 0.000
V 0.500 0.500 0.500
As 0.250 0.250 0.250
As 0.250 0.250 0.750
As 0.250 0.750 0.250
As 0.250 0.750 0.750
As 0.750 0.250 0.250
As 0.750 0.250 0.750
As 0.750 0.750 0.250
As 0.750 0.750 0.750

Results
Spin magnetization: 2.31 μB/f.u.
V: 230.4 Å³/cell
Space-group type: No. 225
Density of states at the Fermi level: 0.559 states/eV per atom


2.
Here is a geometry-optimized MnVAs2 structure from Alexandria via LeMat-Bulk. Energies are from PBE.

a b c (Å): 3.513 3.513 19.114
angles (deg): 90.00 90.00 120.00
Fractional coordinates of all 12 atoms:
Mn 0.000 0.000 0.000
Mn 0.333 0.667 0.667
Mn 0.667 0.333 0.333
V 0.000 0.000 0.500
V 0.333 0.667 0.167
V 0.667 0.333 0.833
As 0.000 0.000 0.251
As 0.000 0.000 0.749
As 0.333 0.667 0.416
As 0.333 0.667 0.917
As 0.667 0.333 0.083
As 0.667 0.333 0.584

Results
Spin magnetization: 5.55 μB/f.u.
V: 204.3 Å³/cell
Space-group type: No. 166
Density of states at the Fermi level: 0.695 states/eV per atom


Energy above the most stable structure, in eV/atom: 1 0.055; 2 0.000


1.
Here is a geometry-optimized Mn2As2W structure from Alexandria via LeMat-Bulk. Energies are from PBE.

a b c (Å): 6.749 6.749 3.318
angles (deg): 90.00 90.00 90.00
Fractional coordinates of all 10 atoms:
Mn 0.145 0.355 0.000
Mn 0.355 0.855 0.000
Mn 0.645 0.145 0.000
Mn 0.855 0.645 0.000
As 0.153 0.653 0.500
As 0.347 0.153 0.500
As 0.653 0.847 0.500
As 0.847 0.347 0.500
W 0.000 0.000 0.500
W 0.500 0.500 0.500

Results
Spin magnetization: 6.35 μB/f.u.
V: 151.2 Å³/cell
Space-group type: No. 127
Density of states at the Fermi level: 0.505 states/eV per atom


2.
Here is a geometry-optimized Mn2As2W structure from Alexandria via LeMat-Bulk. Energies are from PBE.

a b c (Å): 4.007 4.007 9.078
angles (deg): 90.00 90.00 90.00
Fractional coordinates of all 10 atoms:
Mn 0.000 0.500 0.250
Mn 0.000 0.500 0.750
Mn 0.500 0.000 0.250
Mn 0.500 0.000 0.750
As 0.000 0.000 0.129
As 0.000 0.000 0.871
As 0.500 0.500 0.371
As 0.500 0.500 0.629
W 0.000 0.000 0.500
W 0.500 0.500 0.000

Results
Spin magnetization: 1.67 μB/f.u.
V: 145.7 Å³/cell
Space-group type: No. 139
Density of states at the Fermi level: 1.047 states/eV per atom


Energy above the most stable structure, in eV/atom: 1 0.000; 2 0.432


1.
Here is a geometry-optimized Mn3AsW structure from Alexandria via LeMat-Bulk. Energies are from PBE.

a b c (Å): 4.267 4.267 4.267
angles (deg): 90.00 90.00 90.00
Fractional coordinates of all 5 atoms:
Mn 0.000 0.000 0.500
Mn 0.000 0.500 0.000
Mn 0.500 0.000 0.000
As 0.000 0.000 0.000
W 0.500 0.500 0.500

Results
Spin magnetization: 2.10 μB/f.u.
V: 77.7 Å³/cell
Space-group type: No. 221
Density of states at the Fermi level: 1.278 states/eV per atom


2.
Here is a geometry-optimized Mn3AsW structure from Alexandria via LeMat-Bulk. Energies are from PBE.

a b c (Å): 4.634 4.634 4.634
angles (deg): 90.00 90.00 90.00
Fractional coordinates of all 5 atoms:
Mn 0.000 0.000 0.500
Mn 0.000 0.500 0.000
Mn 0.500 0.000 0.000
As 0.500 0.500 0.500
W 0.000 0.000 0.000

Results
Spin magnetization: 7.62 μB/f.u.
V: 99.5 Å³/cell
Space-group type: No. 221
Density of states at the Fermi level: 1.115 states/eV per atom


Energy above the most stable structure, in eV/atom: 1 0.000; 2 0.229


1.
Here is a geometry-optimized Mn2ZnAs structure from Alexandria via LeMat-Bulk. Energies are from PBE.

a b c (Å): 6.765 6.765 5.357
angles (deg): 90.00 90.00 90.00
Fractional coordinates of all 16 atoms:
Mn 0.236 0.250 0.125
Mn 0.250 0.736 0.375
Mn 0.250 0.764 0.875
Mn 0.264 0.250 0.625
Mn 0.736 0.750 0.625
Mn 0.750 0.236 0.875
Mn 0.750 0.264 0.375
Mn 0.764 0.750 0.125
Zn 0.000 0.000 0.500
Zn 0.000 0.500 0.750
Zn 0.500 0.000 0.250
Zn 0.500 0.500 0.000
As 0.000 0.000 0.000
As 0.000 0.500 0.250
As 0.500 0.000 0.750
As 0.500 0.500 0.500

Results
Spin magnetization: 5.60 μB/f.u.
V: 245.2 Å³/cell
Space-group type: No. 122
Density of states at the Fermi level: 0.451 states/eV per atom


2.
Here is a geometry-optimized Mn2ZnAs structure from Alexandria via LeMat-Bulk. Energies are from PBE.

a b c (Å): 3.343 3.343 5.229
angles (deg): 90.00 90.00 90.00
Fractional coordinates of all 4 atoms:
Mn 0.000 0.000 0.000
Mn 0.500 0.500 0.272
Zn 0.000 0.000 0.489
As 0.500 0.500 0.795

Results
Spin magnetization: 6.09 μB/f.u.
V: 58.4 Å³/cell
Space-group type: No. 99
Density of states at the Fermi level: 0.799 states/eV per atom


3.
Here is a geometry-optimized Mn2ZnAs structure from Alexandria via LeMat-Bulk. Energies are from PBE.

a b c (Å): 2.760 2.760 7.709
angles (deg): 90.00 90.00 90.00
Fractional coordinates of all 4 atoms:
Mn 0.000 0.000 0.000
Mn 0.500 0.500 0.185
Zn 0.000 0.000 0.403
As 0.500 0.500 0.789

Results
Spin magnetization: 0.90 μB/f.u.
V: 58.7 Å³/cell
Space-group type: No. 99
Density of states at the Fermi level: 0.240 states/eV per atom


Energy above the most stable structure, in eV/atom: 1 0.197; 2 0.000; 3 0.010